This record from Alexandria via LeMat-Bulk describes a relaxed structure of Tl3PbAu2. The functional is GGA-PBE.

```
12
Lattice="-1.4106 -2.4289 -3.1202 7.0285 -3.1365 -3.5601 0.1115 -9.0621 4.1797" Properties=species:S:1:pos:R:3 pbc="T T T"
Tl 6.5414 -10.3561 -0.5441
Tl 4.4723 -7.1339 -2.1171
Tl 4.7211 -4.4748 -4.2995
Tl 1.0083 -10.1527 1.7989
Tl 1.2571 -7.4936 -0.3836
Tl -0.8120 -4.2714 -1.9565
Pb 2.9248 -4.2557 -0.8337
Pb 2.8047 -10.3718 -1.6670
Au 5.2772 -9.8333 -3.2040
Au 1.7603 -3.7914 -3.4931
Au 3.9691 -10.8362 0.9925
Au 0.4522 -4.7943 0.7034
```

Computed properties:
The total energy is -35.222 eV for the cell shown. The energy relative to the elements comes out at -0.04 eV/atom. The space-group type is C2/m.

This record from Alexandria via LeMat-Bulk describes a relaxed structure of Er2SiO. The functional is GGA-PBE.

```
16
Lattice="5.5836 0.0000 0.0000 0.0000 5.6749 0.0284 0.0000 -0.7792 10.3132" Properties=species:S:1:pos:R:3 pbc="T T T"
O 0.9893 2.7474 6.4334
O 0.9893 4.5962 9.0791
O 4.5943 0.2996 1.2626
O 4.5943 2.1483 3.9083
Si 4.0686 2.0523 9.0215
Si 1.5151 2.8434 1.3202
Si 1.5151 5.2793 3.8791
Si 4.0686 -0.3836 6.4626
Er 1.2800 4.9220 6.6480
Er 1.2800 2.4216 8.8645
Er 4.3036 -0.0263 3.6936
Er 1.2272 2.4407 4.0781
Er 4.3036 2.4742 1.4772
Er 4.3564 2.4550 6.2636
Er 4.3564 4.8886 9.2490
Er 1.2272 0.0072 1.0927
```

Computed properties:
The value obtained for the formation energy (no corrections) is -1680 meV/atom. The total energy is -104.907 eV for the cell shown. The space-group type is P2/c.

This record from Alexandria via LeMat-Bulk describes a relaxed structure of TaGa3Pd12. The functional is GGA-PBE.

```
16
Lattice="3.9375 0.0000 0.0000 0.0000 3.9375 0.0000 0.0000 0.0000 15.7212" Properties=species:S:1:pos:R:3 pbc="T T T"
Pd 1.9687 0.0000 9.8187
Pd 0.0000 1.9687 1.9398
Pd 1.9687 0.0000 13.7814
Pd 1.9687 1.9687 11.8009
Pd 1.9687 0.0000 5.9026
Pd 1.9687 1.9687 3.9203
Pd 0.0000 1.9687 5.9026
Pd 1.9687 1.9687 7.8606
Pd 0.0000 1.9687 13.7814
Pd 1.9687 1.9687 0.0000
Pd 0.0000 1.9687 9.8187
Pd 1.9687 0.0000 1.9398
Ta 0.0000 0.0000 0.0000
Ga 0.0000 0.0000 4.0428
Ga 0.0000 0.0000 7.8606
Ga 0.0000 0.0000 11.6785
```

Computed properties:
The total energy is -91.171 eV for the cell shown. The energy relative to the elements comes out at -0.50 eV/atom. The space-group type is P4/mmm.

This record from Alexandria via LeMat-Bulk describes a relaxed structure of Sm8CuNi2. The functional is GGA-PBE.

```
11
Lattice="5.9686 0.1412 -0.9492 -1.8954 6.7979 -2.9773 -0.0383 -0.2165 7.6564" Properties=species:S:1:pos:R:3 pbc="T T T"
Sm 3.5454 4.3077 2.2223
Sm 2.8153 2.4307 -0.9344
Sm 5.4399 1.4469 4.3816
Sm 0.3269 2.4706 1.5726
Sm 0.4597 6.1680 1.9385
Sm 4.3967 5.3870 -1.5916
Sm 0.9482 4.3228 4.7358
Sm 3.3029 0.5889 1.8578
Ni 1.5747 4.7492 -0.1551
Ni 2.2927 2.0372 3.9563
Cu 0.9728 0.0681 -0.1250
```

Computed properties:
The total energy is -53.713 eV for the cell shown. The energy relative to the elements comes out at -0.03 eV/atom. The space-group type is Cm.

This record from Alexandria via LeMat-Bulk describes a relaxed structure of SrMgSb2. The functional is GGA-PBE.

```
4
Lattice="6.7124 0.0602 -0.0007 4.9755 4.5061 -0.0007 1.5387 0.6012 4.3393" Properties=species:S:1:pos:R:3 pbc="T T T"
Sr 6.4061 2.5028 2.6642
Sb 0.5233 0.2044 0.1506
Sb 10.0867 3.9407 2.0655
Mg 2.8238 1.1032 1.6265
```

Computed properties:
The value obtained for the formation energy (no corrections) is -547 meV/atom. The total energy is -13.709 eV for the cell shown. The space-group type is Cm.

This record from Alexandria via LeMat-Bulk describes a relaxed structure of MgGePd5. The functional is GGA-PBE.

```
7
Lattice="4.5655 0.2516 0.0000 -1.2477 4.3989 0.0000 0.0001 0.0002 5.7335" Properties=species:S:1:pos:R:3 pbc="T T T"
Pd 0.0001 0.0001 2.8668
Pd 3.9416 2.4511 1.4239
Pd 2.2829 0.1260 4.3096
Pd 1.0351 4.5247 1.4239
Pd -0.6236 2.1996 4.3096
Ge 1.6590 2.3253 2.8668
Mg 0.0000 0.0000 0.0000
```

Computed properties:
The total energy is -34.436 eV for the cell shown. The energy relative to the elements comes out at -0.32 eV/atom. The space-group type is Cmmm.